## MnSb4Ru (PBE-GGA)

Data for a relaxed MnSb4Ru crystal.

```
MnSb4Ru
1.0
2.895 1.253 5.166
-2.944 2.720 4.536
-1.320 -3.090 5.035
Sb Mn Ru
4 1 1
Direct
0.375 0.875 0.375
0.375 0.375 0.875
0.875 0.375 0.375
0.375 0.375 0.375
0.750 0.750 0.750
0.000 0.000 0.000
```

Values from the calculation:
DFT total energy   -28.6 eV per cell
Formation energy from raw total energies   1058 meV/atom